Crystalline BaHf2Mg at its relaxed geometry, computed with PBE.

**DFT total energy**: -40.2 eV per cell
**Total magnetic moment**: 0.000 Bohr magnetons per cell

```
BaHf2Mg
1.0
4.464 0.000 0.000
0.000 4.464 0.000
2.232 2.232 11.367
Mg Hf Ba
2 4 2
Cartesian
2.232 2.232 0.000 Mg
2.232 4.464 5.683 Mg
1.182 1.116 2.842 Hf
3.281 3.348 2.842 Hf
3.348 5.513 8.525 Hf
5.580 3.414 8.525 Hf
0.000 0.000 0.000 Ba
4.464 2.232 5.683 Ba
```